Here is crystalline Pm2CdSn3Pd6 at its relaxed geometry from the Alexandria database. Energies are from PBE.

Cell: 4.093 4.093 17.404 Å, 90.00 90.00 90.00°
Positions (direct):
Sn (0.000, 0.000, 0.000)
Cd (0.500, 0.500, 0.500)
Pd (0.000, 0.000, 0.853)
Pd (0.000, 0.000, 0.147)
Sn (0.000, 0.000, 0.299)
Pd (0.500, 0.000, 0.607)
Sn (0.000, 0.000, 0.701)
Pm (0.500, 0.500, 0.798)
Pd (0.500, 0.000, 0.393)
Pm (0.500, 0.500, 0.202)
Pd (0.000, 0.500, 0.393)
Pd (0.000, 0.500, 0.607)

Summary:
energy = -4.86 eV per atom
E_form = -393 meV per atom


Here is crystalline PmCd2SnPd4 at its relaxed geometry from the Alexandria database. Energies are from PBE.

Cell: 4.804 4.804 8.124 Å, 72.80 72.80 60.00°
Positions (direct):
Pd (0.617, 0.617, 0.149)
Pd (0.869, 0.869, 0.394)
Cd (0.254, 0.254, 0.238)
Sn (0.500, 0.500, 0.500)
Pd (0.383, 0.383, 0.851)
Pd (0.131, 0.131, 0.606)
Pm (0.000, 0.000, 0.000)
Cd (0.746, 0.746, 0.762)

Summary:
energy = -4.49 eV per atom
E_form = -567 meV per atom


Here is crystalline Pm2Cd2SnPd5 at its relaxed geometry from the Alexandria database. Energies are from PBE.

Cell: 3.754 10.466 10.466 Å, 90.00 90.00 90.00°
Positions (direct):
Pd (0.500, 0.500, 0.000)
Pd (0.500, 0.199, 0.036)
Sn (0.000, 0.500, 0.500)
Cd (0.000, 0.130, 0.630)
Pd (0.500, 0.801, 0.964)
Sn (0.000, 0.000, 0.000)
Pd (0.500, 0.000, 0.500)
Pm (0.000, 0.831, 0.669)
Cd (0.000, 0.870, 0.370)
Pd (0.500, 0.699, 0.464)
Pd (0.500, 0.036, 0.801)
Pd (0.500, 0.464, 0.301)
Pm (0.000, 0.669, 0.169)
Cd (0.000, 0.370, 0.130)
Cd (0.000, 0.630, 0.870)
Pd (0.500, 0.301, 0.536)
Pm (0.000, 0.169, 0.331)
Pd (0.500, 0.964, 0.199)
Pm (0.000, 0.331, 0.831)
Pd (0.500, 0.536, 0.699)

Summary:
energy = -4.66 eV per atom
E_form = -528 meV per atom


Here is crystalline PmCdSnPd at its relaxed geometry from the Alexandria database. Energies are from PBE.

Cell: 5.052 5.052 5.052 Å, 60.00 60.00 60.00°
Positions (direct):
Pd (0.500, 0.500, 0.500)
Cd (0.750, 0.750, 0.750)
Sn (0.000, 0.000, 0.000)
Pm (0.250, 0.250, 0.250)

Summary:
energy = -4.21 eV per atom
E_form = -495 meV per atom


Here is crystalline SrPmCdPd at its relaxed geometry from the Alexandria database. Energies are from PBE.

Cell: 5.346 5.346 5.346 Å, 60.00 60.00 60.00°
Positions (direct):
Cd (0.000, 0.000, 0.000)
Pd (0.500, 0.500, 0.500)
Sr (0.750, 0.750, 0.750)
Pm (0.250, 0.250, 0.250)

Summary:
energy = -3.54 eV per atom
E_form = -409 meV per atom


Here is crystalline TbPmCdPd at its relaxed geometry from the Alexandria database. Energies are from PBE.

Cell: 5.200 5.200 5.200 Å, 60.00 60.00 60.00°
Positions (direct):
Tb (0.500, 0.500, 0.500)
Cd (0.750, 0.750, 0.750)
Pm (0.000, 0.000, 0.000)
Pd (0.250, 0.250, 0.250)

Summary:
energy = -4.38 eV per atom
E_form = -513 meV per atom


Question: Which of these has the lowest E_form?
Answer: PmCd2SnPd4


Please write out number 4 again, unchanged.
Here is crystalline PmCdSnPd at its relaxed geometry from the Alexandria database. Energies are from PBE.

Cell: 5.052 5.052 5.052 Å, 60.00 60.00 60.00°
Positions (direct):
Pd (0.500, 0.500, 0.500)
Cd (0.750, 0.750, 0.750)
Sn (0.000, 0.000, 0.000)
Pm (0.250, 0.250, 0.250)

Summary:
energy = -4.21 eV per atom
E_form = -495 meV per atom